[1]
This record from OQMD describes NaTmCoSe3 after structural relaxation. The functional is PBE-GGA.

abc: 3.9173 13.6142 10.2731
angles: 90.00 90.00 90.00
With the nearest neighbours (Å) after each atom.
Space group Cmcm (No. 63)
Symmetry-distinct sites (fractional):
Na: 0.0000 0.2450 0.2500 x4  6 Se 3.01-3.04
Tm: 0.0000 0.0000 0.0000 x4  6 Se 2.80-2.81
Co: 0.0000 0.4875 0.7500 x4  4 Se 2.36
Se: 0.0000 0.0844 0.7500 x4  2 Co 2.36
Se: 0.0000 0.3677 0.5844 x8  1 Co 2.36

Calculated values
energy relative to the lowest polymorph listed for this composition = 44 meV/atom

=====

[2]
This record from OQMD describes Li2MgScIn2Pd2 after structural relaxation. The functional is PBE-GGA.

abc: 4.6269 4.6269 6.5368
angles: 90.00 90.00 90.00
With the nearest neighbours (Å) after each atom.
Space group P-4m2 (No. 115)
Symmetry-distinct sites (fractional):
Li: 0.0000 0.5000 0.2353 x2  2 Mg 2.78, 4 In 2.78-2.89, 2 Sc 2.89
Mg: 0.5000 0.5000 0.0000 x1  4 Li 2.78, 4 Pd 2.84
Sc: 0.0000 0.0000 0.5000 x1  4 Pd 2.82, 4 Li 2.89
In: 0.0000 0.0000 0.0000 x1  4 Li 2.78, 4 Pd 2.84
In: 0.5000 0.5000 0.5000 x1  4 Pd 2.82, 4 Li 2.89
Pd: 0.0000 0.5000 0.7467 x2  4 In 2.82-2.84, 2 Sc 2.82, 2 Mg 2.84

Calculated values
final energy = -4.018 eV per atom

=====

[3]
This record from OQMD describes B2AsW2 after structural relaxation. The functional is PBE-GGA.

abc: 3.0545 12.3802 3.0903
angles: 90.00 90.00 90.00
With the nearest neighbours (Å) after each atom.
Space group Cmmm (No. 65)
Symmetry-distinct sites (fractional):
B: 0.0000 0.2137 0.0000 x4  2 B 1.77
As: 0.0000 0.0000 0.0000 x2  2 B 2.65, 8 W 2.80
W: 0.0000 0.3573 0.5000 x4  6 B 2.34-2.36

Calculated values
final energy = -8.786 eV per atom

=====

[4]
This record from OQMD describes Er2B4C after structural relaxation. The functional is PBE-GGA.

abc: 3.2535 6.5568 7.4259
angles: 90.00 90.00 90.00
With the nearest neighbours (Å) after each atom.
Space group Immm (No. 71)
Symmetry-distinct sites (fractional):
Er: 0.0000 0.0000 0.2349 x4  2 C 2.39, 2 B 2.66
B: 0.0000 0.2722 0.5000 x4  1 C 1.49
B: 0.0000 0.3654 0.0000 x4  3 B 1.77-1.86
C: 0.0000 0.5000 0.5000 x2  2 B 1.49

Calculated values
final energy = -7.028 eV per atom

=====

[5]
This record from OQMD describes MgHg2Te3 after structural relaxation. The functional is PBE-GGA.

abc: 13.9669 8.0177 7.6398
angles: 90.00 90.00 90.00
With the nearest neighbours (Å) after each atom.
Space group Cmc2_1 (No. 36)
Symmetry-distinct sites (fractional):
Mg: 0.0000 0.1614 0.0000 x4  4 Te 2.81
Hg: 0.1648 0.3402 0.4996 x8  4 Te 2.85-2.88
Te: 0.0000 0.1653 0.3681 x4  2 Mg 2.81, 2 Hg 2.88
Te: 0.1648 0.3245 0.8753 x8  1 Mg 2.81, 3 Hg 2.85-2.88

Calculated values
energy relative to the lowest polymorph listed for this composition = 5 meV/atom

=====

[6]
This record from OQMD describes Na2Ag after structural relaxation. The functional is PBE-GGA.

abc: 5.8265 9.8785 20.2933
angles: 90.00 90.00 90.00
With the nearest neighbours (Å) after each atom.
Space group Fddd (No. 70, origin choice 2)
Symmetry-distinct sites (fractional):
Na: 0.1250 0.1250 0.0439 x16  4 Ag 3.00-3.05, 1 Na 3.29
Na: 0.1250 0.2944 0.6250 x16  4 Ag 3.03-3.04, 3 Na 3.32-3.35
Ag: 0.1250 0.1250 0.5002 x16  2 Ag 2.87, 8 Na 3.00-3.05

Calculated values
final energy = -1.846 eV per atom

=====

[7]
This record from OQMD describes YGaFeOs after structural relaxation. The functional is PBE-GGA.

abc: 6.4174 6.4174 6.4174
angles: 90.00 90.00 90.00
With the nearest neighbours (Å) after each atom.
Space group F-43m (No. 216)
Symmetry-distinct sites (fractional):
Y: 0.0000 0.0000 0.0000 x4  4 Fe 2.78, 4 Os 2.78
Ga: 0.0000 0.0000 0.5000 x4  4 Fe 2.78, 4 Os 2.78
Fe: 0.2500 0.2500 0.7500 x4  4 Y 2.78, 4 Ga 2.78
Os: 0.2500 0.2500 0.2500 x4  4 Y 2.78, 4 Ga 2.78

Calculated values
energy relative to the lowest polymorph listed for this composition = 0 meV/atom

=====

[8]
This record from OQMD describes LiTaZnFe after structural relaxation. The functional is PBE-GGA.

abc: 5.9509 5.9509 5.9509
angles: 90.00 90.00 90.00
With the nearest neighbours (Å) after each atom.
Space group F-43m (No. 216)
Symmetry-distinct sites (fractional):
Li: 0.0000 0.0000 0.0000 x4  4 Ta 2.58, 4 Zn 2.58
Ta: 0.2500 0.2500 0.7500 x4  4 Fe 2.58, 4 Li 2.58
Zn: 0.2500 0.2500 0.2500 x4  4 Fe 2.58, 4 Li 2.58
Fe: 0.0000 0.0000 0.5000 x4  4 Ta 2.58, 4 Zn 2.58

Calculated values
energy relative to the lowest polymorph listed for this composition = 0 meV/atom

=====

[9]
This record from OQMD describes PmRePb after structural relaxation. The functional is PBE-GGA.

abc: 7.0122 7.0122 7.0122
angles: 90.00 90.00 90.00
With the nearest neighbours (Å) after each atom.
Space group F-43m (No. 216)
Symmetry-distinct sites (fractional):
Pm: 0.0000 0.0000 0.0000 x4  4 Pb 3.04, 4 Re 3.04
Re: 0.2500 0.2500 0.2500 x4  4 Pm 3.04
Pb: 0.2500 0.2500 0.7500 x4  4 Pm 3.04

Calculated values
energy relative to the lowest polymorph listed for this composition = 439 meV/atom

=====

[10]
This record from OQMD describes Cu5Ag4 after structural relaxation. The functional is PBE-GGA.

abc: 8.8656 3.7590 8.3302
angles: 90.00 108.65 90.00
With the nearest neighbours (Å) after each atom.
Space group Cm (No. 8)
Symmetry-distinct sites (fractional):
Cu: 0.0000 0.0000 0.0000 x2  6 Cu 2.60-2.69, 5 Ag 2.71-2.76
Cu: 0.0011 0.0000 0.3230 x2  3 Cu 2.64-2.69, 7 Ag 2.70-2.85
Cu: 0.0086 0.0000 0.6823 x2  5 Cu 2.66-2.97, 7 Ag 2.69-2.77
Cu: 0.3480 0.0000 0.1113 x2  6 Cu 2.64-2.92, 6 Ag 2.69-2.81
Cu: 0.3536 0.0000 0.7937 x2  6 Cu 2.60-2.90, 6 Ag 2.72-2.86
Ag: 0.1683 0.5000 0.2199 x2  8 Cu 2.69-2.80, 4 Ag 2.73-2.86
Ag: 0.1770 0.5000 0.8952 x2  10 Cu 2.69-2.76, 2 Ag 2.73-2.74
Ag: 0.1798 0.5000 0.5671 x2  5 Ag 2.74-2.86, 7 Cu 2.76-2.85
Ag: 0.3534 0.0000 0.4508 x2  7 Cu 2.70-2.96, 5 Ag 2.74-2.81

Calculated values
ΔE_f = 98 meV/atom
energy relative to the lowest polymorph listed for this composition = 57 meV/atom

=====

[11]
This record from OQMD describes Cu2Ag after structural relaxation. The functional is PBE-GGA.

abc: 9.0731 2.7700 10.8617
angles: 90.00 113.29 90.00
With the nearest neighbours (Å) after each atom.
Space group Cm (No. 8)
Symmetry-distinct sites (fractional):
Cu: 0.0000 0.0000 0.0000 x2  8 Cu 2.58-2.85, 4 Ag 2.65-2.66
Cu: 0.9999 0.0000 0.3348 x2  6 Cu 2.64-2.77, 6 Ag 2.73-2.82
Cu: 0.0193 0.0000 0.6847 x2  6 Cu 2.59-2.77, 5 Ag 2.63-2.71
Cu: 0.1529 0.5000 0.5558 x2  6 Cu 2.59-2.77, 5 Ag 2.63-2.72
Cu: 0.1696 0.5000 0.9041 x2  9 Cu 2.55-2.77, 3 Ag 2.76-2.79
Cu: 0.3424 0.0000 0.1076 x2  9 Cu 2.55-2.85, 3 Ag 2.71-2.72
Ag: 0.1693 0.5000 0.2182 x2  8 Cu 2.65-2.76, 4 Ag 2.77-2.84
Ag: 0.3351 0.0000 0.7797 x2  10 Cu 2.63-2.79, 2 Ag 2.77
Ag: 0.3377 0.0000 0.4623 x2  8 Cu 2.63-2.82, 4 Ag 2.77-2.84

Calculated values
ΔE_f = 94 meV/atom
energy relative to the lowest polymorph listed for this composition = 48 meV/atom

=====

[12]
This record from OQMD describes Er2Lu2In5Os2 after structural relaxation. The functional is PBE-GGA.

abc: 7.7091 3.5043 9.6471
angles: 90.00 93.84 90.00
With the nearest neighbours (Å) after each atom.
Space group P2/m (No. 10)
Symmetry-distinct sites (fractional):
Er: 0.1746 0.0000 0.3537 x2  2 Os 2.77
Lu: 0.2123 0.0000 0.9449 x2  4 Os 2.84-2.89
In: 0.1763 0.5000 0.6558 x2  1 Os 2.83, 1 In 3.00
In: 0.4494 0.5000 0.1712 x2  1 Os 2.90, 2 In 3.17-3.24
In: 0.5000 0.5000 0.5000 x1  4 In 3.00-3.17, 4 Er 3.30
Os: 0.0723 0.5000 0.1408 x2  2 Er 2.77, 2 In 2.83-2.90, 4 Lu 2.84-2.89, 1 Os 2.87

Calculated values
final energy = -5.260 eV per atom

=====

Please write out number 8 again, unchanged.
This record from OQMD describes LiTaZnFe after structural relaxation. The functional is PBE-GGA.

abc: 5.9509 5.9509 5.9509
angles: 90.00 90.00 90.00
With the nearest neighbours (Å) after each atom.
Space group F-43m (No. 216)
Symmetry-distinct sites (fractional):
Li: 0.0000 0.0000 0.0000 x4  4 Ta 2.58, 4 Zn 2.58
Ta: 0.2500 0.2500 0.7500 x4  4 Fe 2.58, 4 Li 2.58
Zn: 0.2500 0.2500 0.2500 x4  4 Fe 2.58, 4 Li 2.58
Fe: 0.0000 0.0000 0.5000 x4  4 Ta 2.58, 4 Zn 2.58

Calculated values
energy relative to the lowest polymorph listed for this composition = 0 meV/atom